(P)
VASP calculation (PBE-GGA) on a geometry-optimized KMgNb structure.

Values from the calculation:
- DOS(E_F): 7.88 states/eV per cell
- M_tot: 0.68 μB/atom
- Space-group type: P6_3/mmc, No. 194
- Calculated volume: 165 Å³ per cell

Unit cell a=5.594 b=5.594 c=6.074 alpha=90.00 beta=90.00 gamma=120.00
Atoms (fractional coordinates):
Mg (0.333, 0.667, 0.750)
Mg (0.667, 0.333, 0.250)
Nb (0.333, 0.667, 0.250)
Nb (0.667, 0.333, 0.750)
K (0.000, 0.000, 0.000)
K (0.000, 0.000, 0.500)

---

(Q)
VASP calculation (PBE-GGA) on a geometry-optimized KMgNb structure.

Values from the calculation:
- DOS(E_F): 5.23 states/eV per cell
- M_tot: 0.00 μB/atom
- Space-group type: P1, No. 1
- Calculated volume: 208 Å³ per cell

Unit cell a=3.399 b=4.971 c=12.547 alpha=78.68 beta=89.84 gamma=90.00
Atoms (fractional coordinates):
K (0.183, 0.307, 0.240)
K (0.684, 0.651, 0.551)
Mg (0.173, 0.927, 0.997)
Mg (0.676, 0.028, 0.792)
Nb (0.675, 0.439, 0.972)
Nb (0.176, 0.515, 0.818)

---

(R)
VASP calculation (PBE-GGA) on a geometry-optimized KMgNb structure.

Values from the calculation:
- DOS(E_F): 6.72 states/eV per cell
- M_tot: 0.00 μB/atom
- Space-group type: Pm, No. 6
- Calculated volume: 208 Å³ per cell

Unit cell a=3.345 b=4.974 c=12.934 alpha=89.98 beta=75.22 gamma=90.00
Atoms (fractional coordinates):
K (0.385, 0.062, 0.241)
K (0.593, 0.562, 0.554)
Mg (0.158, 0.061, 0.977)
Mg (0.856, 0.061, 0.776)
Nb (0.646, 0.561, 0.989)
Nb (0.300, 0.561, 0.833)

---

(S)
VASP calculation (PBE-GGA) on a geometry-optimized KMgNb structure.

Values from the calculation:
- DOS(E_F): 4.76 states/eV per cell
- M_tot: 0.00 μB/atom
- Space-group type: P2_1/m, No. 11
- Calculated volume: 188 Å³ per cell

Unit cell a=14.960 b=3.544 c=3.544 alpha=90.00 beta=89.77 gamma=90.00
Atoms (fractional coordinates):
Mg (0.160, 0.250, 0.747)
Mg (0.840, 0.750, 0.253)
Nb (0.960, 0.250, 0.751)
Nb (0.040, 0.750, 0.249)
K (0.639, 0.250, 0.757)
K (0.361, 0.750, 0.243)

---

List of relative energies, unit eV/atom: (P) 0.984; (Q) 0.127; (R) 0.167; (S) 0.000